The following is a PBE-GGA calculation of a geometry-optimized Nd4Mg structure, from the Alexandria database.

abc: 3.7162 3.7162 23.9797
angles: 90.00 90.00 90.00
Space group I4/mmm (No. 139)
Symmetry-distinct sites (fractional):
1 Nd 0.0000 0.0000 0.0901 x4
2 Nd 0.0000 0.0000 0.3044 x4
3 Mg 0.0000 0.0000 0.5000 x2

Calculated values
N(E_F) ... 6.31 states/eV/f.u.
Electronic total energy ... -41.63 eV per cell
V ... 33.12 A^3/atom
ΔH_f (0 K) ... -0.029 eV/atom